This record from the Alexandria database describes a relaxed TaRuRh3 crystal. The functional is PBE-GGA.

```
TaRuRh3
1.0
4.597 0.000 0.000
0.000 4.597 0.000
0.000 0.000 4.597
Ta Ru Rh
1 1 3
Direct
0.000 0.000 0.000 Ta
0.500 0.500 0.500 Ru
0.000 0.500 0.500 Rh
0.500 0.000 0.500 Rh
0.500 0.500 0.000 Rh
```

Computed properties:
energy of formation: 1494 meV/atom
volume: 97 Å³ per cell
E above lowest polymorph: 177.3 meV/atom


This record from the Alexandria database describes a relaxed GeP3S crystal. The functional is PBE-GGA.

```
GeP3S
1.0
4.682 0.000 0.000
0.000 4.682 0.000
0.000 0.000 4.682
Ge P S
1 3 1
Direct
0.000 0.000 0.000 Ge
0.000 0.000 0.500 P
0.000 0.500 0.000 P
0.500 0.000 0.000 P
0.500 0.500 0.500 S
```

Computed properties:
volume: 103 Å³ per cell
E above lowest polymorph: 342.5 meV/atom


This record from the Alexandria database describes a relaxed Ba2YTe3O12 crystal. The functional is PBE-GGA.

```
Ba2YTe3O12
1.0
3.744 2.162 5.928
-3.744 2.162 5.928
0.000 -4.323 5.928
Ba Y Te O
2 1 3 12
Direct
0.130 0.130 0.130 Ba
0.870 0.870 0.870 Ba
0.500 0.500 0.500 Y
0.000 0.500 0.500 Te
0.500 0.000 0.500 Te
0.500 0.500 0.000 Te
0.120 0.604 0.604 O
0.196 0.196 0.599 O
0.196 0.599 0.196 O
0.396 0.396 0.880 O
0.396 0.880 0.396 O
0.401 0.804 0.804 O
0.599 0.196 0.196 O
0.604 0.120 0.604 O
0.604 0.604 0.120 O
0.804 0.401 0.804 O
0.804 0.804 0.401 O
0.880 0.396 0.396 O
```

Computed properties:
volume: 288 Å³ per cell
energy: -6.1789 eV/atom


This record from the Alexandria database describes a relaxed RbSrTl4 crystal. The functional is PBE-GGA.

```
RbSrTl4
1.0
5.454 0.000 0.000
-2.727 4.723 0.000
0.000 0.000 8.805
Rb Sr Tl
1 1 4
Direct
0.000 0.000 0.000 Rb
0.000 0.000 0.500 Sr
0.333 0.667 0.307 Tl
0.333 0.667 0.693 Tl
0.667 0.333 0.307 Tl
0.667 0.333 0.693 Tl
```

Computed properties:
energy of formation: -213 meV/atom
volume: 227 Å³ per cell
E above lowest polymorph: 0.0 meV/atom


This record from the Alexandria database describes a relaxed Tl2MoBr8 crystal. The functional is PBE-GGA.

```
Tl2MoBr8
1.0
6.752 -5.057 0.000
6.752 5.057 0.000
-0.678 0.000 6.098
Tl Mo Br
2 1 8
Direct
0.112 0.112 0.296 Tl
0.888 0.888 0.704 Tl
0.500 0.500 0.500 Mo
0.117 0.117 0.795 Br
0.245 0.590 0.712 Br
0.355 0.355 0.211 Br
0.410 0.755 0.288 Br
0.590 0.245 0.712 Br
0.645 0.645 0.789 Br
0.755 0.410 0.288 Br
0.883 0.883 0.205 Br
```

Computed properties:
volume: 416 Å³ per cell
energy: -3.1466 eV/atom


This record from the Alexandria database describes a relaxed Co2As crystal. The functional is PBE-GGA.

```
Co2As
1.0
4.893 0.000 0.000
-2.447 4.237 0.000
0.000 0.000 7.618
Co As
8 4
Direct
0.000 0.000 0.000 Co
0.000 0.000 0.500 Co
0.173 0.345 0.250 Co
0.173 0.827 0.250 Co
0.345 0.173 0.750 Co
0.655 0.827 0.250 Co
0.827 0.173 0.750 Co
0.827 0.655 0.750 Co
0.333 0.667 0.554 As
0.333 0.667 0.946 As
0.667 0.333 0.054 As
0.667 0.333 0.446 As
```

Computed properties:
energy of formation: 287 meV/atom
volume: 158 Å³ per cell


This record from the Alexandria database describes a relaxed MgBeHg2As crystal. The functional is PBE-GGA.

```
MgBeHg2As
1.0
5.281 0.000 0.000
0.000 5.281 0.000
0.000 0.000 4.707
Mg Be Hg As
1 1 2 1
Direct
0.000 0.000 0.000 Mg
0.000 0.000 0.500 Be
0.000 0.500 0.000 Hg
0.500 0.000 0.000 Hg
0.500 0.500 0.500 As
```

Computed properties:
energy of formation: 951 meV/atom
volume: 131 Å³ per cell


This record from the Alexandria database describes a relaxed AcSi3RuRh crystal. The functional is PBE-GGA.

```
AcSi3RuRh
1.0
3.192 -6.140 0.000
3.192 6.140 0.000
0.000 0.000 6.131
Ac Si Ru Rh
2 6 2 2
Direct
0.239 0.761 0.750 Ac
0.761 0.239 0.250 Ac
0.216 0.784 0.250 Si
0.290 0.290 0.000 Si
0.290 0.290 0.500 Si
0.710 0.710 0.000 Si
0.710 0.710 0.500 Si
0.784 0.216 0.750 Si
0.036 0.964 0.250 Ru
0.964 0.036 0.750 Ru
0.397 0.603 0.250 Rh
0.603 0.397 0.750 Rh
```

Computed properties:
volume: 240 Å³ per cell
energy: -6.7352 eV/atom


This record from the Alexandria database describes a relaxed LiSmHoTc crystal. The functional is PBE-GGA.

```
LiSmHoTc
1.0
7.021 0.000 0.000
0.000 7.021 0.000
0.000 0.000 7.021
Li Sm Ho Tc
4 4 4 4
Direct
0.000 0.000 0.000 Li
0.000 0.500 0.500 Li
0.500 0.000 0.500 Li
0.500 0.500 0.000 Li
0.250 0.250 0.250 Sm
0.250 0.750 0.750 Sm
0.750 0.250 0.750 Sm
0.750 0.750 0.250 Sm
0.250 0.250 0.750 Ho
0.250 0.750 0.250 Ho
0.750 0.250 0.250 Ho
0.750 0.750 0.750 Ho
0.000 0.000 0.500 Tc
0.000 0.500 0.000 Tc
0.500 0.000 0.000 Tc
0.500 0.500 0.500 Tc
```

Computed properties:
energy of formation: -2 meV/atom
volume: 346 Å³ per cell


This record from the Alexandria database describes a relaxed ZnSn2P2 crystal. The functional is PBE-GGA.

```
ZnSn2P2
1.0
7.489 0.000 0.000
0.000 7.489 0.000
0.000 0.000 3.761
Zn Sn P
2 4 4
Direct
0.000 0.000 0.000 Zn
0.500 0.500 0.000 Zn
0.152 0.348 0.500 Sn
0.348 0.848 0.500 Sn
0.652 0.152 0.500 Sn
0.848 0.652 0.500 Sn
0.167 0.667 0.000 P
0.333 0.167 0.000 P
0.667 0.833 0.000 P
0.833 0.333 0.000 P
```

Computed properties:
energy of formation: 229 meV/atom
volume: 211 Å³ per cell


This record from the Alexandria database describes a relaxed Sm5ErTl6 crystal. The functional is PBE-GGA.

```
Sm5ErTl6
1.0
5.463 0.000 0.000
0.000 7.618 0.000
-2.688 0.000 8.208
Sm Er Tl
5 1 6
Direct
0.000 0.000 0.000 Sm
0.331 0.000 0.662 Sm
0.334 0.500 0.667 Sm
0.666 0.500 0.333 Sm
0.669 0.000 0.338 Sm
0.000 0.500 0.000 Er
0.164 0.254 0.328 Tl
0.164 0.746 0.328 Tl
0.500 0.253 0.000 Tl
0.500 0.747 0.000 Tl
0.836 0.254 0.672 Tl
0.836 0.746 0.672 Tl
```

Computed properties:
energy of formation: -368 meV/atom
volume: 342 Å³ per cell


This record from the Alexandria database describes a relaxed PuReAs crystal. The functional is PBE-GGA.

```
PuReAs
1.0
3.005 0.000 0.000
0.000 15.806 0.000
0.000 0.000 4.796
Pu Re As
4 4 4
Direct
0.000 0.098 0.250 Pu
0.000 0.902 0.750 Pu
0.500 0.402 0.750 Pu
0.500 0.598 0.250 Pu
0.000 0.270 0.250 Re
0.000 0.730 0.750 Re
0.500 0.230 0.750 Re
0.500 0.770 0.250 Re
0.000 0.429 0.250 As
0.000 0.571 0.750 As
0.500 0.071 0.750 As
0.500 0.929 0.250 As
```

Computed properties:
energy of formation: -23 meV/atom
volume: 228 Å³ per cell


This record from the Alexandria database describes a relaxed Li2TmSc2Sn2 crystal. The functional is PBE-GGA.

```
Li2TmSc2Sn2
1.0
2.340 1.351 8.257
-2.340 1.351 8.257
0.000 -2.702 8.257
Li Tm Sc Sn
2 1 2 2
Direct
0.082 0.082 0.082 Li
0.918 0.918 0.918 Li
0.500 0.500 0.500 Tm
0.367 0.367 0.367 Sc
0.633 0.633 0.633 Sc
0.240 0.240 0.240 Sn
0.760 0.760 0.760 Sn
```

Computed properties:
energy of formation: -432 meV/atom
volume: 157 Å³ per cell


This record from the Alexandria database describes a relaxed TlCuTe2 crystal. The functional is PBE-GGA.

```
TlCuTe2
1.0
5.013 0.000 0.000
0.000 4.103 0.000
-0.592 0.000 5.864
Tl Cu Te
1 1 2
Direct
0.000 0.000 0.000 Tl
0.426 0.500 0.840 Cu
0.352 0.000 0.573 Te
0.646 0.500 0.240 Te
```

Computed properties:
volume: 121 Å³ per cell
energy: -3.1778 eV/atom


This record from the Alexandria database describes a relaxed BaMgAlCu2 crystal. The functional is PBE-GGA.

```
BaMgAlCu2
1.0
5.581 0.000 0.000
0.000 5.581 0.000
0.000 0.000 6.152
Ba Mg Al Cu
1 1 1 2
Direct
0.000 0.000 0.000 Ba
0.500 0.500 0.500 Mg
0.000 0.000 0.500 Al
0.000 0.500 0.000 Cu
0.500 0.000 0.000 Cu
```

Computed properties:
energy of formation: 1274 meV/atom
volume: 192 Å³ per cell


This record from the Alexandria database describes a relaxed Ti5CuRe4 crystal. The functional is PBE-GGA.

```
Ti5CuRe4
1.0
3.139 0.000 0.000
0.000 3.139 0.000
0.000 0.000 15.395
Ti Cu Re
5 1 4
Direct
0.000 0.000 0.000 Ti
0.000 0.000 0.202 Ti
0.000 0.000 0.397 Ti
0.000 0.000 0.603 Ti
0.000 0.000 0.798 Ti
0.500 0.500 0.500 Cu
0.500 0.500 0.101 Re
0.500 0.500 0.305 Re
0.500 0.500 0.695 Re
0.500 0.500 0.899 Re
```

Computed properties:
energy of formation: -353 meV/atom
volume: 152 Å³ per cell


This record from the Alexandria database describes a relaxed CePaMnTc crystal. The functional is PBE-GGA.

```
CePaMnTc
1.0
6.845 0.000 0.000
0.000 6.845 0.000
0.000 0.000 6.845
Ce Pa Mn Tc
4 4 4 4
Direct
0.000 0.000 0.000 Ce
0.000 0.500 0.500 Ce
0.500 0.000 0.500 Ce
0.500 0.500 0.000 Ce
0.000 0.000 0.500 Pa
0.000 0.500 0.000 Pa
0.500 0.000 0.000 Pa
0.500 0.500 0.500 Pa
0.250 0.250 0.750 Mn
0.250 0.750 0.250 Mn
0.750 0.250 0.250 Mn
0.750 0.750 0.750 Mn
0.250 0.250 0.250 Tc
0.250 0.750 0.750 Tc
0.750 0.250 0.750 Tc
0.750 0.750 0.250 Tc
```

Computed properties:
energy of formation: 107 meV/atom
volume: 321 Å³ per cell


This record from the Alexandria database describes a relaxed Pm3Zn2Pd7 crystal. The functional is PBE-GGA.

```
Pm3Zn2Pd7
1.0
4.231 0.000 0.000
0.000 4.081 0.000
-2.074 0.000 13.613
Pm Zn Pd
3 2 7
Direct
0.000 0.000 0.000 Pm
0.321 0.500 0.639 Pm
0.679 0.500 0.361 Pm
0.129 0.000 0.262 Zn
0.871 0.000 0.738 Zn
0.077 0.500 0.156 Pd
0.221 0.000 0.442 Pd
0.422 0.000 0.841 Pd
0.500 0.500 0.000 Pd
0.578 0.000 0.159 Pd
0.779 0.000 0.558 Pd
0.923 0.500 0.844 Pd
```

Computed properties:
energy of formation: -701 meV/atom
volume: 235 Å³ per cell
E above lowest polymorph: 0.0 meV/atom


This record from the Alexandria database describes a relaxed NbMoRh2 crystal. The functional is PBE-GGA.

```
NbMoRh2
1.0
3.971 0.000 0.000
0.000 3.971 0.000
0.000 0.000 3.909
Nb Mo Rh
1 1 2
Direct
0.000 0.000 0.000 Nb
0.500 0.500 0.000 Mo
0.000 0.500 0.500 Rh
0.500 0.000 0.500 Rh
```

Computed properties:
energy of formation: -309 meV/atom
volume: 62 Å³ per cell
E above lowest polymorph: 0.0 meV/atom


This record from the Alexandria database describes a relaxed TiMoIr crystal. The functional is PBE-GGA.

```
TiMoIr
1.0
2.789 0.000 0.000
-0.738 4.976 0.000
-1.259 -0.916 6.700
Ti Mo Ir
2 2 2
Direct
0.000 0.000 0.000 Ti
0.485 0.788 0.347 Ti
0.961 0.573 0.690 Mo
0.982 0.290 0.353 Mo
0.412 0.070 0.670 Ir
0.564 0.500 0.029 Ir
```

Computed properties:
energy of formation: -364 meV/atom
volume: 93 Å³ per cell
E above lowest polymorph: 81.5 meV/atom


This record from the Alexandria database describes a relaxed CsLi4Pr3Cl12 crystal. The functional is PBE-GGA.

```
CsLi4Pr3Cl12
1.0
7.529 4.347 3.191
-7.529 4.347 3.191
0.000 -8.694 3.191
Cs Li Pr Cl
1 4 3 12
Direct
0.000 0.000 0.000 Cs
0.083 0.500 0.917 Li
0.500 0.500 0.500 Li
0.500 0.917 0.083 Li
0.917 0.083 0.500 Li
0.000 0.576 0.424 Pr
0.424 0.000 0.576 Pr
0.576 0.424 0.000 Pr
0.071 0.657 0.766 Cl
0.075 0.925 0.500 Cl
0.234 0.343 0.929 Cl
0.343 0.929 0.234 Cl
0.349 0.651 0.500 Cl
0.500 0.075 0.925 Cl
0.500 0.349 0.651 Cl
0.651 0.500 0.349 Cl
0.657 0.766 0.071 Cl
0.766 0.071 0.657 Cl
0.925 0.500 0.075 Cl
0.929 0.234 0.343 Cl
```

Computed properties:
volume: 627 Å³ per cell
energy: -4.1587 eV/atom


This record from the Alexandria database describes a relaxed HfTeCN2 crystal. The functional is PBE-GGA.

```
HfTeCN2
1.0
3.984 0.000 0.000
0.000 3.984 0.000
0.000 0.000 4.174
Hf Te C N
1 1 1 2
Direct
0.000 0.000 0.000 Hf
0.500 0.500 0.000 Te
0.500 0.500 0.500 C
0.000 0.500 0.500 N
0.500 0.000 0.500 N
```

Computed properties:
volume: 66 Å³ per cell
E above lowest polymorph: 319.7 meV/atom


This record from the Alexandria database describes a relaxed La8Sn3 crystal. The functional is PBE-GGA.

```
La8Sn3
1.0
5.317 3.070 4.311
-5.317 3.070 4.311
0.000 -6.139 4.311
La Sn
8 3
Direct
0.140 0.140 0.140 La
0.184 0.631 0.356 La
0.356 0.184 0.631 La
0.369 0.644 0.816 La
0.631 0.356 0.184 La
0.644 0.816 0.369 La
0.816 0.369 0.644 La
0.860 0.860 0.860 La
0.000 0.000 0.500 Sn
0.000 0.500 0.000 Sn
0.500 0.000 0.000 Sn
```

Computed properties:
energy of formation: -212 meV/atom
volume: 422 Å³ per cell


This record from the Alexandria database describes a relaxed Rb2Ce2NpS6 crystal. The functional is PBE-GGA.

```
Rb2Ce2NpS6
1.0
3.592 -6.198 0.000
3.592 6.198 0.000
-2.396 0.000 7.809
Rb Ce Np S
2 2 1 6
Direct
0.168 0.832 0.000 Rb
0.832 0.168 0.000 Rb
0.334 0.666 0.500 Ce
0.666 0.334 0.500 Ce
0.000 0.000 0.500 Np
0.059 0.390 0.686 S
0.262 0.262 0.314 S
0.390 0.059 0.686 S
0.610 0.941 0.314 S
0.738 0.738 0.686 S
0.941 0.610 0.314 S
```

Computed properties:
volume: 348 Å³ per cell
energy: -6.3562 eV/atom